Density functional theory data (GGA-PBE) for an optimized crystal structure of Li2Mg6Sc.

Cell lengths 14.5122, 10.5034, 5.2971 Å; angles 90.00, 97.45, 90.00 degrees
With the nearest neighbours (Å) after each atom.
Space group C2/c (No. 15)
Unique sites:
Li: 0.1603 0.1292 0.0945 [8 per cell]  8 Mg 2.87-3.20
Mg: 0.0576 0.1193 0.5221 [8 per cell]  4 Li 2.87-3.20, 5 Mg 3.00-3.14
Mg: 0.1159 0.3647 0.7984 [8 per cell]  2 Li 2.95-3.22, 4 Mg 3.03-3.13, 3 Sc 3.10-3.17
Mg: 0.2276 0.3793 0.3398 [8 per cell]  4 Li 2.99-3.22, 5 Mg 3.09-3.22, 1 Sc 3.28
Sc: 0.0000 0.3869 0.2500 [4 per cell]  10 Mg 3.10-3.28

Calculated values
- Total DFT energy (no corrections): -2.1809 eV/atom
- ΔH_f (0 K): 0.0110 eV/atom
- Volume: 800.6 Å³ per cell